No. 1
Here is a relaxed AlSn2BiF crystal from Alexandria. Energies are from PBE.

a b c (Å): 5.0141 5.0189 5.0141
angles (deg): 90.00 90.00 90.00
Atoms (fractional coordinates):
Sn 0.0000 0.0000 0.5000
Sn 0.5000 0.0000 0.0000
Al 0.5000 0.5000 0.5000
Bi 0.0000 0.5000 0.0000
F 0.0000 0.0000 0.0000

Raw total energy: -3.66 eV per atom
DOS at the Fermi energy: 0.80 states/eV/atom
SG: No. 123
ΔE_f (raw): -158 meV per atom

***

No. 2
Here is a relaxed PmTh2MnC4 crystal from Alexandria. Energies are from PBE.

a b c (Å): 3.6192 6.3143 12.4697
angles (deg): 90.00 90.00 106.65
Atoms (fractional coordinates):
C 0.7316 0.4632 0.8623
C 0.2684 0.5368 0.1377
Th 0.6333 0.2665 0.4547
C 0.3953 0.7907 0.7500
C 0.2684 0.5368 0.3623
Th 0.3667 0.7335 0.9547
C 0.7316 0.4632 0.6377
C 0.6047 0.2093 0.2500
Pm 0.8984 0.7967 0.2500
Th 0.6333 0.2665 0.0453
C 0.0000 0.0000 0.0000
Mn 0.8243 0.6486 0.7500
C 0.0000 0.0000 0.5000
Pm 0.1016 0.2033 0.7500
Mn 0.1757 0.3514 0.2500
Th 0.3667 0.7335 0.5453

Raw total energy: -8.24 eV per atom
DOS at the Fermi energy: 0.58 states/eV/atom
SG: No. 63

***

No. 3
Here is a relaxed ReHg crystal from Alexandria. Energies are from PBE.

a b c (Å): 4.3816 4.3816 4.3816
angles (deg): 60.00 60.00 60.00
Atoms (fractional coordinates):
Re 0.7500 0.7500 0.7500
Hg 0.0000 0.0000 0.0000

Raw total energy: -3.65 eV per atom
DOS at the Fermi energy: 1.48 states/eV/atom
SG: No. 216

***

No. 4
Here is a relaxed DyPaAl2 crystal from Alexandria. Energies are from PBE.

a b c (Å): 3.2121 3.2121 10.4735
angles (deg): 81.18 81.18 60.00
Atoms (fractional coordinates):
Al 0.7500 0.7500 0.7501
Dy 0.5000 0.5000 0.5000
Al 0.2500 0.2500 0.2499
Pa 0.0000 0.0000 0.0000

Raw total energy: -5.44 eV per atom
DOS at the Fermi energy: 1.53 states/eV/atom
SG: No. 166

***

No. 5
Here is a relaxed K3Ho2AlO6 crystal from Alexandria. Energies are from PBE.

a b c (Å): 5.7360 5.7360 6.4872
angles (deg): 98.45 98.45 120.01
Atoms (fractional coordinates):
O 0.2427 0.2427 0.8238
O 0.0589 0.3607 0.1771
O 0.7573 0.7573 0.1762
O 0.9411 0.6393 0.8229
K 0.8365 0.1635 0.5000
Al 0.0000 0.0000 0.0000
K 0.1635 0.8365 0.5000
Ho 0.6668 0.3332 0.0000
O 0.3607 0.0589 0.1771
K 0.5000 0.5000 0.5000
O 0.6393 0.9411 0.8229
Ho 0.3332 0.6668 0.0000

Raw total energy: -6.39 eV per atom
DOS at the Fermi energy: 0.00 states/eV/atom
SG: No. 12
ΔE_f (raw): -2558 meV per atom

***

No. 6
Here is a relaxed Er4CuAg3 crystal from Alexandria. Energies are from PBE.

a b c (Å): 3.5553 3.5553 14.3486
angles (deg): 90.00 90.00 90.00
Atoms (fractional coordinates):
Ag 0.5000 0.5000 0.5000
Er 0.0000 0.0000 0.8845
Er 0.0000 0.0000 0.6281
Ag 0.5000 0.5000 0.2449
Er 0.0000 0.0000 0.1155
Ag 0.5000 0.5000 0.7551
Er 0.0000 0.0000 0.3719
Cu 0.5000 0.5000 0.0000

Raw total energy: -4.18 eV per atom
DOS at the Fermi energy: 0.65 states/eV/atom
SG: No. 123